## 1
## Na2MnRe (GGA-PBE)

Data for Na2MnRe after structural relaxation.

Results
As for the density of states at the Fermi level: 2.9 states/eV/f.u.

a b c (Å): 8.1347 8.1347 6.2586
angles (deg): 49.47 49.47 90.00
Last column: magnetic moment on the atom in μB.
Sites, in units of the cell vectors:
1 Na 0.3750 0.3892 0.7500  0.00
2 Mn 0.2500 0.7500 0.5000  3.58
3 Na 0.1392 0.6250 0.2500  0.01
4 Na 0.8750 0.8608 0.7500  0.00
5 Mn 0.5000 0.5000 0.0000  3.58
6 Re 0.7500 0.2500 0.5000  -1.16
7 Na 0.6108 0.1250 0.2500  0.00
8 Re 0.0000 0.0000 0.0000  -1.16

## 2
## Na2MnRe (GGA-PBE)

Data for Na2MnRe after structural relaxation.

Results
As for the density of states at the Fermi level: 11.4 states/eV/f.u.

a b c (Å): 4.5946 4.5946 4.5946
angles (deg): 60.00 60.00 60.00
Sites, in units of the cell vectors:
1 Na 0.2500 0.2500 0.2500
2 Re 0.5000 0.5000 0.5000
3 Mn 0.0000 0.0000 0.0000
4 Na 0.7500 0.7500 0.7500

We find 1 to be the most stable, with the next structure 64.4 kJ/mol of atoms higher.